A plane-wave DFT calculation with PBE was carried out for Y2W after structural relaxation.

## Properties
**Distance to the lowest polymorph of the same formula**: 354 meV/atom
**DFT formation energy**: 174 kJ/mol of formula units

Cell: 3.0831 4.7754 9.7355 Å, 90.00 90.00 90.00°
Space group Immm (No. 71)
Symmetry-distinct sites (fractional):
Y: 0.0000 0.0000 0.1560 [4 per cell]
W: 0.0000 0.0000 0.5000 [2 per cell]